The following is a PBE calculation of LaNbGe after structural relaxation, from OQMD via LeMat-Bulk.

- Raw total energy: -5.640 eV/atom

Cell: 5.0002 5.0002 5.0002 Å, 60.00 60.00 60.00°
Last column: nearest neighbours and their distance in Å.
Positions (direct):
La1 0.0000 0.0000 0.0000  4 Ge 3.06, 4 Nb 3.06
Nb1 0.2500 0.2500 0.2500  4 La 3.06
Ge1 0.7500 0.7500 0.7500  4 La 3.06

---

The following is a PBE calculation of LiIrF4 after structural relaxation, from OQMD via LeMat-Bulk.

- Raw total energy: -4.538 eV/atom

Cell: 6.1466 6.1466 6.1466 Å, 132.39 132.39 69.61°
Last column: nearest neighbours and their distance in Å.
Positions (direct):
Li1 0.3750 0.1250 0.2500  8 F 2.06-2.27
Li2 0.6250 0.8750 0.7500  8 F 2.06-2.27
Ir1 0.1250 0.3750 0.7500  8 F 2.16
Ir2 0.8750 0.6250 0.2500  8 F 2.16
F1 0.0270 0.7574 0.7666  2 Li 2.06-2.27, 2 Ir 2.16
F2 0.2396 0.4730 0.2304  2 Li 2.06-2.27, 2 Ir 2.16
F3 0.2574 0.9908 0.7304  2 Li 2.06-2.27, 2 Ir 2.16
F4 0.4908 0.2604 0.7334  2 Li 2.06-2.27, 2 Ir 2.16
F5 0.5092 0.7396 0.2666  2 Li 2.06-2.27, 2 Ir 2.16
F6 0.7426 0.0092 0.2696  2 Li 2.06-2.27, 2 Ir 2.16
F7 0.7604 0.5270 0.7696  2 Li 2.06-2.27, 2 Ir 2.16
F8 0.9730 0.2426 0.2334  2 Li 2.06-2.27, 2 Ir 2.16

---

Please write out number 2 again, unchanged.
The following is a PBE calculation of LiIrF4 after structural relaxation, from OQMD via LeMat-Bulk.

- Raw total energy: -4.538 eV/atom

Cell: 6.1466 6.1466 6.1466 Å, 132.39 132.39 69.61°
Last column: nearest neighbours and their distance in Å.
Positions (direct):
Li1 0.3750 0.1250 0.2500  8 F 2.06-2.27
Li2 0.6250 0.8750 0.7500  8 F 2.06-2.27
Ir1 0.1250 0.3750 0.7500  8 F 2.16
Ir2 0.8750 0.6250 0.2500  8 F 2.16
F1 0.0270 0.7574 0.7666  2 Li 2.06-2.27, 2 Ir 2.16
F2 0.2396 0.4730 0.2304  2 Li 2.06-2.27, 2 Ir 2.16
F3 0.2574 0.9908 0.7304  2 Li 2.06-2.27, 2 Ir 2.16
F4 0.4908 0.2604 0.7334  2 Li 2.06-2.27, 2 Ir 2.16
F5 0.5092 0.7396 0.2666  2 Li 2.06-2.27, 2 Ir 2.16
F6 0.7426 0.0092 0.2696  2 Li 2.06-2.27, 2 Ir 2.16
F7 0.7604 0.5270 0.7696  2 Li 2.06-2.27, 2 Ir 2.16
F8 0.9730 0.2426 0.2334  2 Li 2.06-2.27, 2 Ir 2.16

---

Please write out number 2 again, unchanged.
The following is a PBE calculation of LiIrF4 after structural relaxation, from OQMD via LeMat-Bulk.

- Raw total energy: -4.538 eV/atom

Cell: 6.1466 6.1466 6.1466 Å, 132.39 132.39 69.61°
Last column: nearest neighbours and their distance in Å.
Positions (direct):
Li1 0.3750 0.1250 0.2500  8 F 2.06-2.27
Li2 0.6250 0.8750 0.7500  8 F 2.06-2.27
Ir1 0.1250 0.3750 0.7500  8 F 2.16
Ir2 0.8750 0.6250 0.2500  8 F 2.16
F1 0.0270 0.7574 0.7666  2 Li 2.06-2.27, 2 Ir 2.16
F2 0.2396 0.4730 0.2304  2 Li 2.06-2.27, 2 Ir 2.16
F3 0.2574 0.9908 0.7304  2 Li 2.06-2.27, 2 Ir 2.16
F4 0.4908 0.2604 0.7334  2 Li 2.06-2.27, 2 Ir 2.16
F5 0.5092 0.7396 0.2666  2 Li 2.06-2.27, 2 Ir 2.16
F6 0.7426 0.0092 0.2696  2 Li 2.06-2.27, 2 Ir 2.16
F7 0.7604 0.5270 0.7696  2 Li 2.06-2.27, 2 Ir 2.16
F8 0.9730 0.2426 0.2334  2 Li 2.06-2.27, 2 Ir 2.16

---

- Look up the raw total energy of the first one.
  -5.640 eV/atom

---

- Among the records above, which one has the highest raw total energy?
  LiIrF4